Record 1
! Ir2OsRu | Alexandria via LeMat-Bulk | SCAN | PBEsol geometry; values from VASP
! ΔE_f: -0.017 eV/atom
! N(E_F): 0.6976 states/eV/atom
! Space group: Cmmm
! Volume: 55 Å³/cell
! Energy above the lowest structure with this stoichiometry: 0.00 eV/f.u.
&SYSTEM
  ibrav = 0, nat = 4, ntyp = 3
/
ATOMIC_SPECIES
Ru 101.07 Ru.upf
Ir 192.22 Ir.upf
Os 190.23 Os.upf
CELL_PARAMETERS angstrom
-1.2323 -1.9586 1.3693
3.4780 -2.9348 -1.0678
0.9624 2.1988 4.0111
ATOMIC_POSITIONS crystal
Ru 0.5000 0.5000 0.5000
Ir 0.0000 0.5000 0.0000
Ir 0.0000 0.0000 0.5000
Os 0.5000 0.0000 0.0000

***

Record 2
! CoHgI2 | Alexandria via LeMat-Bulk | SCAN | PBEsol geometry; values from VASP
! Uncorrected formation energy: 0.03 eV/atom
! N(E_F): 0.1286 states/eV/atom
! Space group: I-42d
! Volume: 239 Å³/cell
! Energy above the lowest structure with this stoichiometry: 0.00 eV/f.u.
&SYSTEM
  ibrav = 0, nat = 8, ntyp = 3
/
ATOMIC_SPECIES
I 126.90 I.upf
Co 58.93 Co.upf
Hg 200.59 Hg.upf
CELL_PARAMETERS angstrom
-2.1233 3.4339 -5.4429
-5.2197 -1.5001 4.0534
4.3548 3.7265 3.6158
ATOMIC_POSITIONS crystal
I 0.9078 0.5328 0.1250
I 0.0922 0.2172 0.6250
I 0.5922 0.3750 0.4672
I 0.4078 0.8750 0.7828
Co 0.0000 0.5000 0.5000
Co 0.5000 0.2500 0.7500
Hg 0.0000 0.0000 0.0000
Hg 0.5000 0.7500 0.2500

***

Record 3
! Sm2Ga3Cu | Alexandria via LeMat-Bulk | SCAN | PBEsol geometry; values from VASP
! ΔE_f: -0.695 eV/atom
! N(E_F): 0.1650 states/eV/atom
! Space group: P3m1
! Volume: 120 Å³/cell
! Energy above the lowest structure with this stoichiometry: 0.00 eV/f.u.
&SYSTEM
  ibrav = 0, nat = 6, ntyp = 3
/
ATOMIC_SPECIES
Sm 150.36 Sm.upf
Ga 69.72 Ga.upf
Cu 63.55 Cu.upf
CELL_PARAMETERS angstrom
-0.1465 -2.0876 -3.8154
-1.2287 -2.0374 3.6436
-6.8806 2.3361 -1.0139
ATOMIC_POSITIONS crystal
Sm 0.6667 0.3333 0.2671
Sm 0.6667 0.3333 0.7385
Ga 0.3333 0.6667 0.5172
Ga 0.3333 0.6667 0.9610
Ga 0.0000 0.0000 0.0430
Cu 0.0000 0.0000 0.4732

***

Record 4
! LiCoPb2 | Alexandria via LeMat-Bulk | SCAN | PBEsol geometry; values from VASP
! ΔE_f: 0.174 eV/atom
! N(E_F): 0.4500 states/eV/atom
! Space group: Imm2
! Volume: 82 Å³/cell
&SYSTEM
  ibrav = 0, nat = 4, ntyp = 3
/
ATOMIC_SPECIES
Co 58.93 Co.upf
Li 6.94 Li.upf
Pb 207.20 Pb.upf
CELL_PARAMETERS angstrom
3.1230 0.0000 0.0000
0.0000 4.1437 0.0000
-1.5615 -2.0718 6.3643
ATOMIC_POSITIONS crystal
Co 0.4871 0.4871 0.9742
Li 0.1811 0.6811 0.3622
Pb 0.0221 0.0221 0.0442
Pb 0.8097 0.3097 0.6194

***

Record 5
! Sc2SiNi | Alexandria via LeMat-Bulk | SCAN | PBEsol geometry; values from VASP
! Uncorrected formation energy: -0.25 eV/atom
! N(E_F): 0.7045 states/eV/atom
! Space group: C2/m
! Volume: 71 Å³/cell
&SYSTEM
  ibrav = 0, nat = 4, ntyp = 3
/
ATOMIC_SPECIES
Ni 58.69 Ni.upf
Sc 44.96 Sc.upf
Si 28.09 Si.upf
CELL_PARAMETERS angstrom
3.0739 0.0000 0.0000
-1.5369 3.5334 0.0104
0.0000 -1.2158 6.5239
ATOMIC_POSITIONS crystal
Ni 0.5000 0.0000 0.0000
Sc 0.7503 0.5006 0.7635
Sc 0.2497 0.4994 0.2365
Si 0.0000 0.0000 0.5000

***

Record 6
! ScSbAu2 | Alexandria via LeMat-Bulk | SCAN | PBEsol geometry; values from VASP
! Uncorrected formation energy: -0.62 eV/atom
! N(E_F): 0.3517 states/eV/atom
! Space group: I4/mmm
! Volume: 77 Å³/cell
&SYSTEM
  ibrav = 0, nat = 4, ntyp = 3
/
ATOMIC_SPECIES
Sc 44.96 Sc.upf
Sb 121.76 Sb.upf
Au 196.97 Au.upf
CELL_PARAMETERS angstrom
-3.5951 2.0596 0.7099
-1.3331 -0.9964 -3.8602
0.6778 -4.1874 3.1356
ATOMIC_POSITIONS crystal
Sc 0.5000 0.5000 0.0000
Sb 0.0000 0.0000 0.0000
Au 0.2500 0.7500 0.5000
Au 0.7500 0.2500 0.5000

***

Record 7
! Ti3OsI | Alexandria via LeMat-Bulk | SCAN | PBEsol geometry; values from VASP
! Uncorrected formation energy: 0.36 eV/atom
! N(E_F): 0.7466 states/eV/atom
! Space group: Pm-3m
! Volume: 109 Å³/cell
&SYSTEM
  ibrav = 0, nat = 5, ntyp = 3
/
ATOMIC_SPECIES
I 126.90 I.upf
Os 190.23 Os.upf
Ti 47.87 Ti.upf
CELL_PARAMETERS angstrom
4.7762 0.0000 0.0000
0.0000 4.7762 0.0000
0.0000 0.0000 4.7762
ATOMIC_POSITIONS crystal
I 0.5000 0.5000 0.5000
Os 0.0000 0.0000 0.0000
Ti 0.0000 0.5000 0.0000
Ti 0.0000 0.0000 0.5000
Ti 0.5000 0.0000 0.0000

***

Record 8
! ScSbSe | Alexandria via LeMat-Bulk | SCAN | PBEsol geometry; values from VASP
! Uncorrected formation energy: -0.96 eV/atom
! N(E_F): 0.5105 states/eV/atom
! Space group: I4mm
! Volume: 65 Å³/cell
&SYSTEM
  ibrav = 0, nat = 3, ntyp = 3
/
ATOMIC_SPECIES
Sc 44.96 Sc.upf
Sb 121.76 Sb.upf
Se 78.96 Se.upf
CELL_PARAMETERS angstrom
3.4851 0.0000 0.0000
0.0000 3.4851 0.0000
-1.7425 -1.7425 5.3755
ATOMIC_POSITIONS crystal
Sc 0.6970 0.6970 0.3939
Sb 0.0074 0.0074 0.0147
Se 0.2957 0.2957 0.5913

***

Record 9
! Ag2Sb | Alexandria via LeMat-Bulk | SCAN | PBEsol geometry; values from VASP
! Uncorrected formation energy: 0.09 eV/atom
! N(E_F): 0.3623 states/eV/atom
! Space group: Fm-3m
! Volume: 67 Å³/cell
! Energy above the lowest structure with this stoichiometry: 0.04 eV/f.u.
&SYSTEM
  ibrav = 0, nat = 3, ntyp = 2
/
ATOMIC_SPECIES
Sb 121.76 Sb.upf
Ag 107.87 Ag.upf
CELL_PARAMETERS angstrom
-2.3174 3.7669 1.0943
-0.6445 1.0871 4.3772
2.1787 3.5711 1.8049
ATOMIC_POSITIONS crystal
Sb 0.0000 0.0000 0.0000
Ag 0.7500 0.7500 0.7500
Ag 0.2500 0.2500 0.2500

***

Record 10
! LiCdIn | Alexandria via LeMat-Bulk | SCAN | PBEsol geometry; values from VASP
! ΔE_f: -0.249 eV/atom
! N(E_F): 0.2651 states/eV/atom
! Space group: P3m1
! Volume: 64 Å³/cell
! Energy above the lowest structure with this stoichiometry: 0.00 eV/f.u.
&SYSTEM
  ibrav = 0, nat = 3, ntyp = 3
/
ATOMIC_SPECIES
Li 6.94 Li.upf
In 114.82 In.upf
Cd 112.41 Cd.upf
CELL_PARAMETERS angstrom
-3.0409 0.2739 0.7187
0.0433 -4.4572 1.8818
1.0050 3.8171 2.7981
ATOMIC_POSITIONS crystal
Li 0.3335 0.3333 0.6667
In 0.8370 0.6667 0.3333
Cd 0.8296 0.0000 0.0000

***

Record 11
! InNiAu | Alexandria via LeMat-Bulk | SCAN | PBEsol geometry; values from VASP
! ΔE_f: -0.035 eV/atom
! N(E_F): 0.4336 states/eV/atom
! Space group: I4mm
! Volume: 47 Å³/cell
&SYSTEM
  ibrav = 0, nat = 3, ntyp = 3
/
ATOMIC_SPECIES
Au 196.97 Au.upf
In 114.82 In.upf
Ni 58.69 Ni.upf
CELL_PARAMETERS angstrom
3.2411 0.0000 0.0000
0.0000 3.2411 0.0000
-1.6205 -1.6205 4.4968
ATOMIC_POSITIONS crystal
Au 0.9921 0.9921 0.9842
In 0.6784 0.6784 0.3569
Ni 0.3295 0.3295 0.6589

***

Record 12
! K2NiBr | Alexandria via LeMat-Bulk | SCAN | PBEsol geometry; values from VASP
! Uncorrected formation energy: -0.41 eV/atom
! N(E_F): 0.1121 states/eV/atom
! Space group: P4/mmm
! Volume: 116 Å³/cell
! Energy above the lowest structure with this stoichiometry: 0.00 eV/f.u.
&SYSTEM
  ibrav = 0, nat = 4, ntyp = 3
/
ATOMIC_SPECIES
Br 79.90 Br.upf
K 39.10 K.upf
Ni 58.69 Ni.upf
CELL_PARAMETERS angstrom
-2.0785 1.5135 2.7666
-2.9766 -2.0339 -1.1236
2.2358 -6.0255 4.9761
ATOMIC_POSITIONS crystal
Br 0.5000 0.5000 0.0000
K 0.0000 0.0008 0.7604
K 0.0000 0.9992 0.2396
Ni 0.5000 0.5000 0.5000

***

Record 13
! TcIrPt2O | Alexandria via LeMat-Bulk | SCAN | PBEsol geometry; values from VASP
! Uncorrected formation energy: 2.00 eV/atom
! N(E_F): 0.7841 states/eV/atom
! Space group: P4/mmm
! Volume: 102 Å³/cell
&SYSTEM
  ibrav = 0, nat = 5, ntyp = 4
/
ATOMIC_SPECIES
O 16.00 O.upf
Ir 192.22 Ir.upf
Tc 98.00 Tc.upf
Pt 195.08 Pt.upf
CELL_PARAMETERS angstrom
4.6006 0.0000 0.0000
0.0000 4.7062 0.0000
0.0000 0.0000 4.7062
ATOMIC_POSITIONS crystal
O 0.5000 0.5000 0.5000
Ir 0.5000 0.0000 0.0000
Tc 0.0000 0.0000 0.0000
Pt 0.0000 0.0000 0.5000
Pt 0.0000 0.5000 0.0000

***

Record 14
! LiPt3S | Alexandria via LeMat-Bulk | SCAN | PBEsol geometry; values from VASP
! Uncorrected formation energy: 0.09 eV/atom
! N(E_F): 0.5589 states/eV/atom
! Space group: Pm-3m
! Volume: 89 Å³/cell
&SYSTEM
  ibrav = 0, nat = 5, ntyp = 3
/
ATOMIC_SPECIES
S 32.06 S.upf
Pt 195.08 Pt.upf
Li 6.94 Li.upf
CELL_PARAMETERS angstrom
-2.2254 -3.6721 -1.1972
3.3382 -1.1337 -2.7279
1.9427 -2.2584 3.3160
ATOMIC_POSITIONS crystal
S 0.0000 0.0000 0.0000
Pt 0.0000 0.5000 0.0000
Pt 0.0000 0.0000 0.5000
Pt 0.5000 0.0000 0.0000
Li 0.5000 0.5000 0.5000